Record 1
Entry from Alexandria via LeMat-Bulk: crystalline Ca2CeB2Rh5 at its relaxed geometry (PBE).

Lattice parameters (Å, degrees): 3.180 9.965 9.965 90.00 90.00 90.00
Each line ends with the local moment (μB).
Fractional positions:
B  0.000  0.618  0.882  0.00
B  0.000  0.382  0.118  0.00
B  0.000  0.882  0.382  0.00
B  0.000  0.118  0.618  0.00
Ca  0.000  0.826  0.674  0.00
Ca  0.000  0.326  0.826  0.00
Ca  0.000  0.174  0.326  0.00
Ca  0.000  0.674  0.174  0.00
Rh  0.500  0.573  0.730  -0.01
Rh  0.500  0.073  0.770  -0.01
Rh  0.500  0.230  0.073  -0.01
Rh  0.500  0.730  0.427  -0.01
Rh  0.500  0.270  0.573  -0.01
Rh  0.500  0.927  0.230  -0.01
Rh  0.500  0.427  0.270  -0.01
Rh  0.500  0.000  0.500  -0.01
Rh  0.500  0.500  0.000  -0.01
Rh  0.500  0.770  0.927  -0.01
Ce  0.000  0.500  0.500  0.13
Ce  0.000  0.000  0.000  0.13

Results
As for the magnetization: 0.3 Bohr magnetons per cell. The uncorrected energy comes out at -130.878 eV for the cell shown. The space group is P4/mbm, No. 127.

Record 2
Entry from Alexandria via LeMat-Bulk: crystalline TiFe2Pb2 at its relaxed geometry (PBE).

Lattice parameters (Å, degrees): 7.591 7.591 3.058 90.00 90.00 90.00
Fractional positions:
Fe  0.358  0.142  0.500
Fe  0.142  0.642  0.500
Fe  0.642  0.858  0.500
Fe  0.858  0.358  0.500
Ti  0.000  0.000  0.000
Ti  0.500  0.500  0.000
Pb  0.655  0.155  0.000
Pb  0.345  0.845  0.000
Pb  0.155  0.345  0.000
Pb  0.845  0.655  0.000

Results
As for the magnetization: 0.0 Bohr magnetons per cell. The uncorrected energy comes out at -57.467 eV for the cell shown. The space group is P4/mbm, No. 127.

Record 3
Entry from Alexandria via LeMat-Bulk: crystalline LuSi2Pt2 at its relaxed geometry (PBE).

Lattice parameters (Å, degrees): 5.933 5.933 5.933 139.38 139.38 58.79
Fractional positions:
Pt  0.370  0.370  0.000
Pt  0.630  0.630  0.000
Lu  0.000  0.000  0.000
Si  0.250  0.750  0.500
Si  0.750  0.250  0.500

Results
As for the magnetization: 0.0 Bohr magnetons per cell. The calculation puts the formation energy without anion corrections at -930 meV/atom. The space group is I4/mmm, No. 139.

Record 4
Entry from Alexandria via LeMat-Bulk: crystalline Zr2Sb2Au at its relaxed geometry (PBE).

Lattice parameters (Å, degrees): 4.099 4.099 7.821 74.81 74.81 90.00
Fractional positions:
Zr  0.598  0.598  0.804
Zr  0.402  0.402  0.196
Sb  0.750  0.250  0.500
Sb  0.250  0.750  0.500
Au  0.000  0.000  0.000

Results
As for the magnetization: 0.0 Bohr magnetons per cell. The calculation puts the formation energy without anion corrections at -107 meV/atom. The space group is I4/mmm, No. 139.

Record 5
Entry from Alexandria via LeMat-Bulk: crystalline Ce2AlPb at its relaxed geometry (PBE).

Lattice parameters (Å, degrees): 3.372 3.372 9.170 90.00 90.00 90.00
Each line ends with the local moment (μB).
Fractional positions:
Pb  0.500  0.500  0.500  -0.02
Ce  0.000  0.000  0.773  0.44
Ce  0.000  0.000  0.227  0.44
Al  0.500  0.500  0.000  -0.01

Results
As for the magnetization: 1.0 Bohr magnetons per cell. The uncorrected energy comes out at -20.684 eV for the cell shown. The space group is P4/mmm, No. 123.

Record 6
Entry from Alexandria via LeMat-Bulk: crystalline Rb2YAlSe4 at its relaxed geometry (PBE).

Lattice parameters (Å, degrees): 8.656 8.656 8.821 120.62 120.62 90.31
Fractional positions:
Se  0.250  0.695  0.472
Se  0.762  0.737  0.552
Se  0.763  0.738  0.948
Se  0.238  0.263  0.448
Se  0.805  0.250  0.028
Se  0.237  0.262  0.052
Se  0.195  0.750  0.972
Se  0.750  0.305  0.528
Rb  0.500  0.500  0.000
Rb  0.500  0.000  0.500
Rb  0.500  0.000  0.000
Rb  0.000  0.000  0.500
Al  0.000  0.000  0.000
Al  0.500  0.500  0.500
Y  0.000  0.500  0.500
Y  0.000  0.500  0.000

Results
As for the magnetization: 0.0 Bohr magnetons per cell. The calculation puts the formation energy without anion corrections at -1215 meV/atom. The space group is Imma, No. 74.

Record 7
Entry from Alexandria via LeMat-Bulk: crystalline TbYZnOs at its relaxed geometry (PBE).

Lattice parameters (Å, degrees): 4.926 4.926 4.926 60.00 60.00 60.00
Fractional positions:
Tb  0.500  0.500  0.500
Y  0.000  0.000  0.000
Os  0.750  0.750  0.750
Zn  0.250  0.250  0.250

Results
As for the magnetization: 0.0 Bohr magnetons per cell. The uncorrected energy comes out at -24.642 eV for the cell shown. The space group is F-43m, No. 216.

Record 8
Entry from Alexandria via LeMat-Bulk: crystalline Tb2DyCu4 at its relaxed geometry (PBE).

Lattice parameters (Å, degrees): 5.130 5.130 6.748 112.34 112.34 90.00
Fractional positions:
Cu  0.617  0.117  0.235
Cu  0.883  0.383  0.765
Cu  0.383  0.883  0.765
Cu  0.117  0.617  0.235
Tb  0.710  0.710  0.420
Tb  0.290  0.290  0.580
Dy  0.000  0.000  0.000

Results
As for the magnetization: 0.0 Bohr magnetons per cell. The uncorrected energy comes out at -30.339 eV for the cell shown. The space group is I4/mmm, No. 139.